Computed, not measured: a relaxed structure of SmY2Mg at the PBE-GGA level of DFT.

Cell and atoms, written as POSCAR:
```
SmY2Mg
1.0
-2.996 -0.622 -4.632
2.497 -1.415 -4.752
-0.777 -5.062 -2.144
Y Sm Mg
2 1 1
Cartesian
-0.319 -1.775 -2.882 Y
-0.957 -5.324 -8.646 Y
0.000 0.000 0.000 Sm
-0.638 -3.550 -5.764 Mg
```

SG: No. 225
Uncorrected energy: -18.960 eV per cell
ΔH_f (0 K): 1.626 kcal/mol of atoms
V: 30.25 A^3/atom

---

Computed, not measured: a relaxed structure of Li2ZrCl at the PBE-GGA level of DFT.

Cell and atoms, written as POSCAR:
```
Li2ZrCl
1.0
-2.888 1.027 1.090
-0.817 -2.977 0.640
2.293 -0.823 6.851
Li Zr Cl
2 1 1
Cartesian
-1.216 -0.641 2.238 Li
1.417 -3.644 7.189 Li
0.595 -2.455 3.890 Zr
0.004 -1.733 6.501 Cl
```

Uncorrected formation energy: -0.440 eV/atom
SG: No. 6
Uncorrected energy: -15.981 eV per cell
V: 18.20 A^3/atom

---

Computed, not measured: a relaxed structure of Hf4Tl at the PBE-GGA level of DFT.

Cell and atoms, written as POSCAR:
```
Hf4Tl
1.0
-2.625 -3.857 -2.374
3.646 -3.428 1.537
-2.687 -0.883 4.406
Hf Tl
4 1
Cartesian
-2.656 -2.370 1.016 Hf
0.480 -2.155 2.971 Hf
0.000 0.000 0.000 Hf
0.510 -3.643 -0.418 Hf
-0.833 -4.084 1.784 Tl
```

SG: No. 221
Uncorrected energy: -35.122 eV per cell
ΔH_f (0 K): 32.554 kcal/mol of atoms
V: 28.70 A^3/atom

---

Computed, not measured: a relaxed structure of Ba2CaTe4Pb at the PBE-GGA level of DFT.

Cell and atoms, written as POSCAR:
```
Ba2CaTe4Pb
1.0
-4.461 1.742 -0.307
-0.605 -2.912 -7.730
-3.045 -7.766 0.183
Ba Ca Te Pb
2 1 4 1
Cartesian
-3.753 -3.012 -0.062 Ba
-3.045 -7.766 0.183 Ba
-1.825 -5.339 -3.774 Ca
-4.644 -5.658 -2.134 Te
-5.380 -0.972 -2.358 Te
-2.732 -7.963 -5.496 Te
-3.467 -3.277 -5.720 Te
-2.533 -0.585 -4.019 Pb
```

Uncorrected formation energy: -1.383 eV/atom
SG: No. 10
Uncorrected energy: -33.184 eV per cell
V: 39.08 A^3/atom